Computed, not measured: a geometry-optimized BeInCoNF structure at the GGA+U level of DFT.

Properties
As for the total magnetization: 0.00 Bohr magnetons per cell. For the distance to the lowest polymorph of the same formula, the calculation gives 350 meV per atom. For the uncorrected energy, the calculation gives -23.9 eV/cell.

Cell and atoms, written as CIF:
```
data_BeInCoNF
_chemical_formula_sum 'Be1 In1 Co1 N1 F1'
_cell_length_a 2.734
_cell_length_b 2.895
_cell_length_c 9.794
_cell_angle_alpha 96.41
_cell_angle_beta 91.07
_cell_angle_gamma 118.05
_space_group_name_H-M_alt 'P 1'
_space_group_IT_number 1
loop_
_space_group_symop_operation_xyz
'x,y,z'
loop_
_atom_site_label
_atom_site_type_symbol
_atom_site_fract_x
_atom_site_fract_y
_atom_site_fract_z
Be1 Be 0.000 0.000 0.000
In1 In 0.566 0.065 0.512
Co1 Co 0.783 0.539 0.194
N1 N 0.483 0.928 0.282
F1 F 0.458 0.929 0.906
```